The following is a GGA-PBE calculation of a relaxed Ac2CeHo crystal, from the Alexandria database.

Cell lengths 3.781, 3.781, 10.405 Å; angles 90.00, 90.00, 90.00 degrees
Site moments in Bohr magnetons follow the coordinates.
Fractional positions:
Ac  0.000  0.000  0.750  0.02
Ac  0.000  0.000  0.250  0.02
Ho  0.500  0.500  0.000  -0.03
Ce  0.500  0.500  0.500  0.89

Formation energy, eV/atom: 0.118
Energy above the lowest structure with this stoichiometry, eV/atom: 0.000

---

The following is a GGA-PBE calculation of a relaxed MgAlPb2 crystal, from the Alexandria database.

Cell lengths 6.346, 6.346, 6.346 Å; angles 148.10, 129.39, 61.08 degrees
Fractional positions:
Al  0.509  0.509  0.000
Mg  0.729  0.229  0.500
Pb  0.990  0.990  0.000
Pb  0.271  0.771  0.500

Formation energy, eV/atom: 0.116
Energy above the lowest structure with this stoichiometry, eV/atom: 0.035

---

The following is a GGA-PBE calculation of a relaxed AcPa2CdO8 crystal, from the Alexandria database.

Cell lengths 5.608, 5.608, 6.725 Å; angles 114.64, 114.64, 90.00 degrees
Site moments in Bohr magnetons follow the coordinates.
Fractional positions:
Ac  0.750  0.250  0.500  0.01
Pa  0.500  0.500  0.000  -0.02
Pa  0.250  0.750  0.500  -0.02
Cd  0.000  0.000  0.000  0.01
O  0.877  0.846  0.246  0.07
O  0.369  0.400  0.246  0.07
O  0.599  0.630  0.753  0.07
O  0.154  0.123  0.753  0.07
O  0.877  0.401  0.247  0.07
O  0.370  0.846  0.247  0.07
O  0.154  0.631  0.754  0.07
O  0.600  0.123  0.754  0.07

Formation energy without anion corrections, kJ/mol of formula units: -3399

---

The following is a GGA-PBE calculation of a relaxed TlHg2H2 crystal, from the Alexandria database.

Cell lengths 5.955, 4.171, 7.458 Å; angles 88.58, 66.47, 44.45 degrees
Fractional positions:
Tl  0.000  0.000  0.000
Hg  0.245  0.252  0.257
Hg  0.755  0.748  0.743
H  0.564  0.370  0.501
H  0.436  0.630  0.499

Energy above the lowest structure with this stoichiometry, eV/atom: 0.000

---

The following is a GGA-PBE calculation of a relaxed KSnB crystal, from the Alexandria database.

Cell lengths 7.490, 7.490, 7.490 Å; angles 41.27, 41.27, 41.27 degrees
Fractional positions:
K  0.619  0.619  0.619
K  0.381  0.381  0.381
B  0.037  0.037  0.037
B  0.963  0.963  0.963
Sn  0.855  0.855  0.855
Sn  0.145  0.145  0.145

Formation energy, eV/atom: 0.275

---

The following is a GGA-PBE calculation of a relaxed Ca3Cr crystal, from the Alexandria database.

Cell lengths 3.810, 3.810, 11.265 Å; angles 90.00, 90.00, 120.00 degrees
Site moments in Bohr magnetons follow the coordinates.
Fractional positions:
Cr  0.667  0.333  0.750  3.97
Ca  0.000  0.000  0.963  0.02
Ca  0.000  0.000  0.537  0.02
Ca  0.667  0.333  0.250  -0.01

Formation energy, eV/atom: 0.462

---

The following is a GGA-PBE calculation of a relaxed KPu2CoS4 crystal, from the Alexandria database.

Cell lengths 3.925, 7.125, 13.519 Å; angles 90.00, 90.00, 105.99 degrees
Site moments in Bohr magnetons follow the coordinates.
Fractional positions:
K  0.102  0.203  0.750  0.00
K  0.898  0.797  0.250  0.00
Pu  0.366  0.732  0.558  5.00
Pu  0.634  0.268  0.058  5.00
Pu  0.634  0.268  0.442  5.00
Pu  0.366  0.732  0.942  5.00
Co  0.830  0.661  0.750  -1.70
Co  0.170  0.339  0.250  -1.70
S  0.260  0.521  0.113  -0.14
S  0.740  0.479  0.613  -0.14
S  0.740  0.479  0.887  -0.14
S  0.260  0.521  0.387  -0.14
S  0.000  0.000  0.500  -0.14
S  0.000  0.000  0.000  -0.14
S  0.419  0.838  0.750  -0.16
S  0.581  0.162  0.250  -0.16

Formation energy without anion corrections, kJ/mol of formula units: -1080

---

The following is a GGA-PBE calculation of a relaxed LiSmMg2 crystal, from the Alexandria database.

Cell lengths 5.208, 3.269, 11.819 Å; angles 97.95, 90.00, 90.00 degrees
Fractional positions:
Li  0.750  0.339  0.679
Li  0.250  0.661  0.321
Sm  0.250  0.903  0.807
Sm  0.750  0.097  0.193
Mg  0.250  0.271  0.543
Mg  0.750  0.729  0.457
Mg  0.750  0.466  0.932
Mg  0.250  0.534  0.068

Formation energy, eV/atom: -0.033
Energy above the lowest structure with this stoichiometry, eV/atom: 0.018

---

The following is a GGA-PBE calculation of a relaxed Li4Pu3MoN8 crystal, from the Alexandria database.

Cell lengths 6.632, 6.343, 6.632 Å; angles 121.53, 120.00, 90.00 degrees
Site moments in Bohr magnetons follow the coordinates.
Fractional positions:
Li  0.500  0.000  0.000  0.01
Li  0.500  0.000  0.500  0.00
Li  0.000  0.000  0.000  0.00
Li  0.000  0.000  0.500  0.00
Pu  0.500  0.500  0.000  3.67
Pu  0.500  0.500  0.500  3.67
Pu  0.000  0.500  0.500  3.67
Mo  0.000  0.500  0.000  0.47
N  0.230  0.713  0.984  -0.15
N  0.230  0.713  0.459  -0.15
N  0.262  0.285  0.523  -0.22
N  0.754  0.713  0.984  -0.15
N  0.246  0.287  0.016  -0.15
N  0.738  0.715  0.477  -0.22
N  0.770  0.287  0.541  -0.15
N  0.770  0.287  0.016  -0.15

Formation energy without anion corrections, kJ/mol of formula units: -1180

---

The following is a GGA-PBE calculation of a relaxed Nb2Bi5O12 crystal, from the Alexandria database.

Cell lengths 6.094, 7.139, 7.717 Å; angles 105.73, 90.00, 115.27 degrees
Site moments in Bohr magnetons follow the coordinates.
Fractional positions:
Nb  0.765  0.000  0.000  0.25
Nb  0.235  0.000  0.000  0.25
Bi  0.304  0.608  0.642  0.00
Bi  0.309  0.618  0.176  0.00
Bi  0.000  0.000  0.500  0.04
Bi  0.691  0.382  0.824  0.00
Bi  0.696  0.392  0.358  0.00
O  0.997  0.995  0.189  0.01
O  0.098  0.678  0.912  -0.01
O  0.579  0.678  0.912  -0.01
O  0.097  0.692  0.423  0.00
O  0.595  0.692  0.423  0.00
O  0.503  0.005  0.819  0.01
O  0.497  0.995  0.181  0.01
O  0.903  0.308  0.577  0.00
O  0.405  0.308  0.577  0.00
O  0.902  0.322  0.088  -0.01
O  0.421  0.322  0.088  -0.01
O  0.003  0.005  0.811  0.01

Formation energy without anion corrections, kJ/mol of formula units: -3060

---

The following is a GGA-PBE calculation of a relaxed HfAlTe2 crystal, from the Alexandria database.

Cell lengths 5.100, 5.100, 5.100 Å; angles 60.00, 60.00, 60.00 degrees
Site moments in Bohr magnetons follow the coordinates.
Fractional positions:
Te  0.250  0.250  0.250  -0.02
Te  0.750  0.750  0.750  -0.02
Hf  0.500  0.500  0.500  0.56
Al  0.000  0.000  0.000  0.01

Formation energy without anion corrections, kJ/mol of formula units: -36
Energy above the lowest structure with this stoichiometry, eV/atom: 0.171

---

The following is a GGA-PBE calculation of a relaxed KNaSr2Sc crystal, from the Alexandria database.

Cell lengths 6.647, 6.357, 6.647 Å; angles 90.00, 90.00, 90.00 degrees
Site moments in Bohr magnetons follow the coordinates.
Fractional positions:
Sc  0.000  0.000  0.000  1.02
Sr  0.000  0.000  0.500  0.14
Sr  0.500  0.000  0.000  0.11
K  0.500  0.500  0.500  0.01
Na  0.000  0.500  0.000  0.01

Formation energy, eV/atom: 0.570

---

The following is a GGA-PBE calculation of a relaxed GaCuBi crystal, from the Alexandria database.

Cell lengths 3.998, 4.277, 4.277 Å; angles 120.00, 90.00, 90.00 degrees
Fractional positions:
Cu  0.185  0.333  0.667
Bi  0.657  0.667  0.333
Ga  0.158  0.000  0.000

Formation energy, eV/atom: 0.138
Energy above the lowest structure with this stoichiometry, eV/atom: 0.057

---

The following is a GGA-PBE calculation of a relaxed BaLiPS2 crystal, from the Alexandria database.

Cell lengths 4.923, 4.923, 4.479 Å; angles 90.00, 90.00, 90.00 degrees
Fractional positions:
P  0.000  0.000  0.500
S  0.000  0.500  0.000
S  0.500  0.000  0.000
Ba  0.500  0.500  0.500
Li  0.000  0.000  0.000

Formation energy without anion corrections, kJ/mol of formula units: -241
Energy above the lowest structure with this stoichiometry, eV/atom: 0.000

---

The following is a GGA-PBE calculation of a relaxed Mn2FeCo crystal, from the Alexandria database.

Cell lengths 6.374, 6.374, 5.129 Å; angles 51.58, 51.58, 90.00 degrees
Site moments in Bohr magnetons follow the coordinates.
Fractional positions:
Mn  0.637  0.125  0.250  2.33
Mn  0.113  0.625  0.250  2.33
Mn  0.375  0.363  0.750  2.33
Mn  0.875  0.887  0.750  2.33
Co  0.000  0.000  0.000  0.88
Co  0.750  0.250  0.500  0.88
Fe  0.500  0.500  0.000  2.10
Fe  0.250  0.750  0.500  2.10

Formation energy, eV/atom: 0.626
Energy above the lowest structure with this stoichiometry, eV/atom: 0.616

---

The following is a GGA-PBE calculation of a relaxed Nd3TmIn2 crystal, from the Alexandria database.

Cell lengths 5.030, 8.495, 10.328 Å; angles 117.37, 90.00, 107.22 degrees
Fractional positions:
Nd  0.291  0.582  0.628
Nd  0.960  0.921  0.641
Nd  0.635  0.270  0.677
Nd  0.365  0.730  0.323
Nd  0.040  0.079  0.359
Nd  0.709  0.418  0.372
Tm  0.882  0.764  0.926
Tm  0.118  0.236  0.074
In  0.516  0.032  0.871
In  0.484  0.968  0.129
In  0.750  0.500  0.086
In  0.250  0.500  0.914

Formation energy, eV/atom: -0.252
Energy above the lowest structure with this stoichiometry, eV/atom: 0.094

---

The following is a GGA-PBE calculation of a relaxed PrRhPb crystal, from the Alexandria database.

Cell lengths 3.486, 3.486, 6.436 Å; angles 105.71, 105.71, 90.00 degrees
Fractional positions:
Pb  0.310  0.310  0.620
Pr  0.596  0.596  0.192
Rh  0.944  0.944  0.889

Formation energy, eV/atom: -0.369

---

The following is a GGA-PBE calculation of a relaxed K2PmZnF6 crystal, from the Alexandria database.

Cell lengths 6.598, 6.923, 8.840 Å; angles 90.00, 90.00, 90.00 degrees
Site moments in Bohr magnetons follow the coordinates.
Fractional positions:
K  0.500  0.840  0.249  0.01
K  0.000  0.160  0.749  0.01
K  0.500  0.840  0.751  0.01
K  0.000  0.160  0.251  0.01
Pm  0.000  0.676  0.500  0.04
Pm  0.500  0.324  0.000  0.04
Zn  0.500  0.262  0.500  0.32
Zn  0.000  0.738  0.000  0.32
F  0.500  0.244  0.248  0.04
F  0.500  0.244  0.752  0.04
F  0.000  0.756  0.252  0.04
F  0.000  0.756  0.748  0.04
F  0.260  0.886  0.500  0.01
F  0.740  0.886  0.500  0.01
F  0.219  0.419  0.500  0.03
F  0.781  0.419  0.500  0.03
F  0.719  0.581  0.000  0.03
F  0.281  0.581  0.000  0.03
F  0.240  0.114  0.000  0.01
F  0.760  0.114  0.000  0.01

Formation energy without anion corrections, kJ/mol of formula units: -2774

---

The following is a GGA-PBE calculation of a relaxed Cs2CeInCl6 crystal, from the Alexandria database.

Cell lengths 7.999, 8.633, 11.616 Å; angles 90.00, 90.00, 90.00 degrees
Site moments in Bohr magnetons follow the coordinates.
Fractional positions:
Cs  0.500  0.796  0.223  0.00
Cs  0.000  0.204  0.723  0.00
Cs  0.500  0.796  0.777  0.00
Cs  0.000  0.204  0.277  0.00
Ce  0.500  0.221  0.500  0.98
Ce  0.000  0.779  0.000  0.98
In  0.000  0.719  0.500  0.00
In  0.500  0.281  0.000  0.00
Cl  0.500  0.208  0.263  0.00
Cl  0.500  0.208  0.737  0.00
Cl  0.000  0.792  0.237  0.00
Cl  0.000  0.792  0.763  0.00
Cl  0.260  0.988  0.500  0.00
Cl  0.740  0.988  0.500  0.00
Cl  0.243  0.430  0.500  -0.01
Cl  0.757  0.430  0.500  -0.01
Cl  0.743  0.570  0.000  -0.01
Cl  0.257  0.570  0.000  -0.01
Cl  0.240  0.012  0.000  0.00
Cl  0.760  0.012  0.000  0.00

Formation energy without anion corrections, kJ/mol of formula units: -1804

---

The following is a GGA-PBE calculation of a relaxed Pm12InGa6 crystal, from the Alexandria database.

Cell lengths 8.976, 8.976, 8.976 Å; angles 109.47, 109.47, 109.47 degrees
Fractional positions:
Pm  0.294  0.104  0.810
Pm  0.294  0.483  0.190
Pm  0.706  0.517  0.810
Pm  0.706  0.896  0.190
Pm  0.104  0.810  0.294
Pm  0.483  0.190  0.294
Pm  0.517  0.810  0.706
Pm  0.896  0.190  0.706
Pm  0.810  0.294  0.104
Pm  0.190  0.294  0.483
Pm  0.810  0.706  0.517
Pm  0.190  0.706  0.896
In  0.000  0.000  0.000
Ga  0.379  0.500  0.879
Ga  0.621  0.500  0.121
Ga  0.500  0.879  0.379
Ga  0.500  0.121  0.621
Ga  0.879  0.379  0.500
Ga  0.121  0.621  0.500

Formation energy, eV/atom: -0.377